Entry from the Alexandria database: crystalline Sm6Cu8P8O3 at its relaxed geometry (PBEsol).

Output
The calculation puts the total energy at -0.46883 Ry/atom. The formation energy (no corrections) is -1.287 eV/atom.

Cell: 13.2238 13.2238 5.4759 Å, 90.00 90.00 156.10°
Sites, in units of the cell vectors:
Sm 0.0000 0.5000 0.7499
Sm 0.1857 0.2849 0.2354
Sm 0.2849 0.1857 0.7646
Sm 0.5000 0.0000 0.2501
Sm 0.7151 0.8143 0.7646
Sm 0.8143 0.7151 0.2354
Cu 0.1525 0.8475 0.0000
Cu 0.1534 0.8466 0.5000
Cu 0.3442 0.6558 0.5000
Cu 0.3467 0.6533 0.0000
Cu 0.6533 0.3467 0.0000
Cu 0.6558 0.3442 0.5000
Cu 0.8466 0.1534 0.5000
Cu 0.8475 0.1525 0.0000
P 0.0427 0.4546 0.2477
P 0.1539 0.3600 0.7428
P 0.3600 0.1539 0.2572
P 0.4546 0.0427 0.7523
P 0.5454 0.9573 0.7523
P 0.6400 0.8461 0.2572
P 0.8461 0.6400 0.7428
P 0.9573 0.5454 0.2477
O 0.0000 0.0000 0.0000
O 0.0000 0.0000 0.5000
O 0.5000 0.5000 0.0000

Entry from the Alexandria database: crystalline CuSnP2O8 at its relaxed geometry (PBEsol).

Output
The calculation puts the total energy at -0.51125 Ry/atom. The formation energy (no corrections) is -1.775 eV/atom.

Cell: 4.9280 5.9991 9.9687 Å, 90.00 93.56 90.00°
Sites, in units of the cell vectors:
Cu 0.1337 0.2500 0.2028
Cu 0.8663 0.7500 0.7972
Sn 0.4417 0.2500 0.7134
Sn 0.5583 0.7500 0.2866
P 0.0919 0.7500 0.0971
P 0.3862 0.7500 0.5962
P 0.6138 0.2500 0.4038
P 0.9081 0.2500 0.9029
O 0.1216 0.7500 0.9471
O 0.2093 0.2500 0.8736
O 0.2495 0.5425 0.6589
O 0.2495 0.9575 0.6589
O 0.2583 0.5553 0.1711
O 0.2583 0.9447 0.1711
O 0.3056 0.2500 0.3771
O 0.3169 0.7500 0.4426
O 0.6831 0.2500 0.5574
O 0.6944 0.7500 0.6229
O 0.7417 0.0553 0.8289
O 0.7417 0.4447 0.8289
O 0.7505 0.0425 0.3411
O 0.7505 0.4575 0.3411
O 0.7907 0.7500 0.1264
O 0.8784 0.2500 0.0529

Entry from the Alexandria database: crystalline SrTiCu4P4O17 at its relaxed geometry (PBEsol).

Output
The calculation puts the total energy at -0.52476 Ry/atom. The formation energy (no corrections) is -1.958 eV/atom.

Cell: 9.5004 9.5004 7.0017 Å, 90.00 90.00 90.00°
Sites, in units of the cell vectors:
Sr 0.0000 0.0000 0.0000
Sr 0.5000 0.5000 0.0000
Ti 0.0000 0.5000 0.0124
Ti 0.5000 0.0000 0.9876
Cu 0.0194 0.2688 0.6032
Cu 0.2312 0.5194 0.6032
Cu 0.2688 0.0194 0.3968
Cu 0.4806 0.7688 0.3968
Cu 0.5194 0.2312 0.3968
Cu 0.7312 0.9806 0.3968
Cu 0.7688 0.4806 0.6032
Cu 0.9806 0.7312 0.6032
P 0.1841 0.7268 0.2557
P 0.2268 0.3159 0.2557
P 0.2732 0.8159 0.7443
P 0.3159 0.2268 0.7443
P 0.6841 0.7732 0.7443
P 0.7268 0.1841 0.7443
P 0.7732 0.6841 0.2557
P 0.8159 0.2732 0.2557
O 0.0000 0.5000 0.7676
O 0.0949 0.6730 0.0878
O 0.1134 0.8461 0.7374
O 0.1317 0.6572 0.4471
O 0.1539 0.8866 0.2626
O 0.1572 0.3683 0.4471
O 0.1601 0.1857 0.7687
O 0.1730 0.4051 0.0878
O 0.1857 0.1601 0.2313
O 0.3143 0.6601 0.7687
O 0.3270 0.9051 0.9122
O 0.3399 0.6857 0.2313
O 0.3428 0.8683 0.5529
O 0.3461 0.3866 0.7374
O 0.3683 0.1572 0.5529
O 0.3866 0.3461 0.2626
O 0.4051 0.1730 0.9122
O 0.5000 0.0000 0.2324
O 0.5949 0.8270 0.9122
O 0.6134 0.6539 0.2626
O 0.6317 0.8428 0.5529
O 0.6539 0.6134 0.7374
O 0.6572 0.1317 0.5529
O 0.6601 0.3143 0.2313
O 0.6730 0.0949 0.9122
O 0.6857 0.3399 0.7687
O 0.8143 0.8399 0.2313
O 0.8270 0.5949 0.0878
O 0.8399 0.8143 0.7687
O 0.8428 0.6317 0.4471
O 0.8461 0.1134 0.2626
O 0.8683 0.3428 0.4471
O 0.8866 0.1539 0.7374
O 0.9051 0.3270 0.0878

Entry from the Alexandria database: crystalline SrZnCuP2O8 at its relaxed geometry (PBEsol).

Output
The calculation puts the total energy at -0.50212 Ry/atom. The formation energy (no corrections) is -2.114 eV/atom.

Cell: 5.5608 6.6584 9.0987 Å, 109.09 102.19 99.62°
Sites, in units of the cell vectors:
Sr 0.2425 0.2012 0.4395
Sr 0.7575 0.7988 0.5605
Zn 0.4994 0.5939 0.8590
Zn 0.5006 0.4061 0.1410
Cu 0.1368 0.8511 0.0437
Cu 0.8632 0.1489 0.9563
P 0.1056 0.5771 0.2615
P 0.3412 0.0249 0.7968
P 0.6588 0.9751 0.2032
P 0.8944 0.4229 0.7385
O 0.1186 0.9277 0.8526
O 0.1262 0.4064 0.0994
O 0.1516 0.8045 0.2480
O 0.1560 0.4791 0.7064
O 0.2423 0.9867 0.6184
O 0.3209 0.5653 0.3934
O 0.4428 0.0993 0.1762
O 0.4602 0.2734 0.9043
O 0.5398 0.7266 0.0957
O 0.5572 0.9007 0.8238
O 0.6791 0.4347 0.6066
O 0.7577 0.0133 0.3816
O 0.8440 0.5209 0.2936
O 0.8484 0.1955 0.7520
O 0.8738 0.5936 0.9006
O 0.8814 0.0723 0.1474

Entry from the Alexandria database: crystalline Cu2TcPO at its relaxed geometry (PBEsol).

Output
The calculation puts the total energy at -0.40909 Ry/atom. The formation energy (no corrections) is 0.629 eV/atom.

Cell: 4.7016 4.7016 3.5602 Å, 90.00 90.00 90.00°
Sites, in units of the cell vectors:
Cu 0.0000 0.5000 0.0000
Cu 0.5000 0.0000 0.0000
Tc 0.0000 0.0000 0.0000
P 0.5000 0.5000 0.5000
O 0.0000 0.0000 0.5000

Entry from the Alexandria database: crystalline CuTeP2O8 at its relaxed geometry (PBEsol).

Output
The calculation puts the total energy at -0.49471 Ry/atom. The formation energy (no corrections) is -1.611 eV/atom.

Cell: 4.8980 6.3862 9.7726 Å, 90.00 102.87 90.00°
Sites, in units of the cell vectors:
Cu 0.2097 0.2500 0.2013
Cu 0.7903 0.7500 0.7987
Te 0.2888 0.2500 0.6700
Te 0.7112 0.7500 0.3300
P 0.1287 0.7500 0.1181
P 0.2646 0.7500 0.5951
P 0.7354 0.2500 0.4049
P 0.8713 0.2500 0.8819
O 0.0766 0.7500 0.9600
O 0.1285 0.7500 0.4358
O 0.1645 0.5625 0.6706
O 0.1645 0.9375 0.6706
O 0.1744 0.2500 0.8468
O 0.3031 0.5593 0.1878
O 0.3031 0.9407 0.1878
O 0.4175 0.2500 0.3941
O 0.5825 0.7500 0.6059
O 0.6969 0.0593 0.8122
O 0.6969 0.4407 0.8122
O 0.8256 0.7500 0.1532
O 0.8355 0.0625 0.3294
O 0.8355 0.4375 0.3294
O 0.8715 0.2500 0.5642
O 0.9234 0.2500 0.0400

Entry from the Alexandria database: crystalline TiCuP2O8 at its relaxed geometry (PBEsol).

Output
The calculation puts the total energy at -0.56159 Ry/atom. For the distance to the lowest polymorph of the same formula, the calculation gives 18 meV/atom. The formation energy (no corrections) is -2.121 eV/atom.

Cell: 8.4293 8.4293 8.4293 Å, 60.90 60.90 60.90°
Sites, in units of the cell vectors:
Ti 0.0000 0.0000 0.0000
Ti 0.2158 0.2158 0.2158
Ti 0.7145 0.7145 0.7145
Cu 0.3582 0.3582 0.3582
Cu 0.4995 0.4995 0.4995
Cu 0.8583 0.8583 0.8583
P 0.1091 0.8122 0.4016
P 0.3141 0.6049 0.8975
P 0.4016 0.1091 0.8122
P 0.6049 0.8975 0.3141
P 0.8122 0.4016 0.1091
P 0.8975 0.3141 0.6049
O 0.0328 0.8674 0.2424
O 0.0962 0.3061 0.4420
O 0.1158 0.7669 0.9262
O 0.1715 0.9779 0.3568
O 0.2424 0.0328 0.8674
O 0.2711 0.6187 0.4040
O 0.3061 0.4420 0.0962
O 0.3430 0.5419 0.7437
O 0.3568 0.1715 0.9779
O 0.4040 0.2711 0.6187
O 0.4420 0.0962 0.3061
O 0.4770 0.6735 0.8501
O 0.5419 0.7437 0.3430
O 0.5989 0.9467 0.7975
O 0.6187 0.4040 0.2711
O 0.6735 0.8501 0.4770
O 0.7437 0.3430 0.5419
O 0.7669 0.9262 0.1158
O 0.7975 0.5989 0.9467
O 0.8501 0.4770 0.6735
O 0.8674 0.2424 0.0328
O 0.9262 0.1158 0.7669
O 0.9467 0.7975 0.5989
O 0.9779 0.3568 0.1715

Entry from the Alexandria database: crystalline Ti2CuP3O12 at its relaxed geometry (PBEsol).

Output
The calculation puts the total energy at -0.58696 Ry/atom. The formation energy (no corrections) is -2.356 eV/atom.

Cell: 8.4999 8.4999 8.4999 Å, 60.69 60.69 60.69°
Sites, in units of the cell vectors:
Ti 0.1397 0.1397 0.1397
Ti 0.3603 0.3603 0.3603
Ti 0.6397 0.6397 0.6397
Ti 0.8603 0.8603 0.8603
Cu 0.0000 0.0000 0.0000
Cu 0.5000 0.5000 0.5000
P 0.0389 0.7500 0.4611
P 0.2500 0.5389 0.9611
P 0.4611 0.0389 0.7500
P 0.5389 0.9611 0.2500
P 0.7500 0.4611 0.0389
P 0.9611 0.2500 0.5389
O 0.0032 0.1884 0.3764
O 0.0554 0.9141 0.2677
O 0.0859 0.7323 0.9446
O 0.1236 0.3116 0.4968
O 0.1884 0.3764 0.0032
O 0.2323 0.5859 0.4446
O 0.2677 0.0554 0.9141
O 0.3116 0.4968 0.1236
O 0.3764 0.0032 0.1884
O 0.4141 0.5554 0.7677
O 0.4446 0.2323 0.5859
O 0.4968 0.1236 0.3116
O 0.5032 0.8764 0.6884
O 0.5554 0.7677 0.4141
O 0.5859 0.4446 0.2323
O 0.6236 0.9968 0.8116
O 0.6884 0.5032 0.8764
O 0.7323 0.9446 0.0859
O 0.7677 0.4141 0.5554
O 0.8116 0.6236 0.9968
O 0.8764 0.6884 0.5032
O 0.9141 0.2677 0.0554
O 0.9446 0.0859 0.7323
O 0.9968 0.8116 0.6236